Crystalline HfScCrTe2 at its relaxed geometry, computed with GGA-PBEsol.

abc: 5.4264 5.4264 5.1314
angles: 90.00 90.00 90.00
Last column: nearest neighbours and their distance in Å.
Space group P4/mmm (No. 123)
Inequivalent atoms, fractional coordinates:
Hf  0.0000  0.0000  0.0000  2 Sc 2.57, 4 Te 2.71
Sc  0.0000  0.0000  0.5000  2 Hf 2.57
Cr  0.5000  0.5000  0.5000  8 Te 3.73, 4 Sc 3.84
Te  0.0000  0.5000  0.0000  2 Hf 2.71

As for the calculated total energy: -6.157 eV per atom. Its formation energy from raw total energies is 0.72 eV/atom. As for the magnetization: 5.0 μB/f.u. The density of states at the Fermi level comes out at 3.6 states/eV/f.u.

---

Crystalline Hf2Cr4Si5 at its relaxed geometry, computed with GGA-PBEsol.

abc: 7.4881 15.9046 4.8684
angles: 90.00 90.00 90.00
Last column: nearest neighbours and their distance in Å.
Space group Ibam (No. 72)
Inequivalent atoms, fractional coordinates:
Hf  0.1200  0.1415  0.0000  7 Si 2.60-2.76
Cr  0.0000  0.3081  0.2500  6 Si 2.43-2.52, 2 Cr 2.43
Cr  0.2480  0.4376  0.0000  5 Si 2.39-2.46
Si  0.0000  0.0000  0.2500  2 Si 2.43, 4 Cr 2.46, 4 Hf 2.71
Si  0.0745  0.4357  0.5000  1 Si 2.33, 4 Cr 2.40-2.43, 1 Hf 2.60
Si  0.2088  0.2113  0.5000  5 Cr 2.39-2.52, 1 Hf 2.67

As for the calculated total energy: -8.863 eV per atom. Its formation energy from raw total energies is -0.62 eV/atom. As for the magnetization: 0.0 μB/f.u. The density of states at the Fermi level comes out at 7.1 states/eV/f.u.

---

Crystalline HfCrSi at its relaxed geometry, computed with GGA-PBEsol.

abc: 6.6562 3.4080 7.7852
angles: 90.00 90.00 90.00
Last column: nearest neighbours and their distance in Å.
Space group Pnma (No. 62)
Inequivalent atoms, fractional coordinates:
Hf  0.0431  0.2500  0.1689  5 Si 2.65-2.76, 4 Cr 2.92-2.93
Cr  0.1243  0.2500  0.5598  4 Si 2.40-2.55, 2 Cr 2.55
Si  0.2402  0.7500  0.3667  4 Cr 2.40-2.55, 4 Hf 2.65

As for the calculated total energy: -9.468 eV per atom. Its formation energy from raw total energies is -0.64 eV/atom. As for the magnetization: 0.0 μB/f.u. The density of states at the Fermi level comes out at 1.6 states/eV/f.u.